No. 1
An optimized crystal structure of Zn3CdSi. Source: the Alexandria database, functional PBE.

a b c (Å): 4.948 4.948 4.948
angles (deg): 90.00 90.00 90.00
Space group Pm-3m (No. 221)
Inequivalent atoms, fractional coordinates:
Zn: 0.000 0.000 0.500 (multiplicity 3)
Cd: 0.000 0.000 0.000 (multiplicity 1)
Si: 0.500 0.500 0.500 (multiplicity 1)

Values from the calculation:
- energy above the most stable polymorph in this dataset (eV/atom) = 0.525
- crystal system = cubic

No. 2
An optimized crystal structure of ZnCdSi2. Source: the Alexandria database, functional PBE.

a b c (Å): 9.701 2.892 5.038
angles (deg): 90.00 92.51 90.00
Space group C2/m (No. 12)
Inequivalent atoms, fractional coordinates:
Zn: 0.000 0.000 0.000 (multiplicity 2)
Cd: 0.000 0.500 0.500 (multiplicity 2)
Si: 0.250 0.000 0.793 (multiplicity 4)

Values from the calculation:
- energy above the most stable polymorph in this dataset (eV/atom) = 0.100
- crystal system = monoclinic

No. 3
An optimized crystal structure of ZnCdSi2. Source: the Alexandria database, functional PBE.

a b c (Å): 2.680 5.128 5.147
angles (deg): 90.00 90.00 90.00
Space group Pmmm (No. 47)
Inequivalent atoms, fractional coordinates:
Zn: 0.000 0.000 0.000 (multiplicity 1)
Cd: 0.500 0.500 0.000 (multiplicity 1)
Si: 0.000 0.500 0.500 (multiplicity 1)
Si: 0.500 0.000 0.500 (multiplicity 1)

Values from the calculation:
- energy above the most stable polymorph in this dataset (eV/atom) = 0.153
- crystal system = orthorhombic

No. 4
An optimized crystal structure of Zn2CdSi. Source: the Alexandria database, functional PBE.

a b c (Å): 10.006 2.690 5.512
angles (deg): 90.00 106.47 90.00
Space group C2/m (No. 12)
Inequivalent atoms, fractional coordinates:
Zn: 0.243 0.000 0.235 (multiplicity 4)
Cd: 0.000 0.000 0.500 (multiplicity 2)
Si: 0.000 0.500 0.000 (multiplicity 2)

Values from the calculation:
- energy above the most stable polymorph in this dataset (eV/atom) = 0.035
- crystal system = monoclinic

No. 5
An optimized crystal structure of Zn2CdSi. Source: the Alexandria database, functional PBE.

a b c (Å): 3.270 5.111 8.677
angles (deg): 90.00 90.00 90.00
Space group Immm (No. 71)
Inequivalent atoms, fractional coordinates:
Zn: 0.000 0.000 0.232 (multiplicity 4)
Cd: 0.000 0.500 0.000 (multiplicity 2)
Si: 0.000 0.500 0.500 (multiplicity 2)

Values from the calculation:
- energy above the most stable polymorph in this dataset (eV/atom) = 0.085
- crystal system = orthorhombic

No. 6
An optimized crystal structure of ZnCdSi2. Source: the Alexandria database, functional PBE.

a b c (Å): 6.614 6.614 6.614
angles (deg): 90.00 90.00 90.00
Space group Fm-3m (No. 225)
Inequivalent atoms, fractional coordinates:
Zn: 0.000 0.000 0.000 (multiplicity 4)
Cd: 0.000 0.000 0.500 (multiplicity 4)
Si: 0.250 0.250 0.250 (multiplicity 8)

Values from the calculation:
- energy above the most stable polymorph in this dataset (eV/atom) = 0.262
- crystal system = cubic

No. 7
An optimized crystal structure of Zn2CdSi. Source: the Alexandria database, functional PBE.

a b c (Å): 6.585 6.585 6.585
angles (deg): 90.00 90.00 90.00
Space group Fm-3m (No. 225)
Inequivalent atoms, fractional coordinates:
Zn: 0.250 0.250 0.250 (multiplicity 8)
Cd: 0.000 0.000 0.000 (multiplicity 4)
Si: 0.000 0.000 0.500 (multiplicity 4)

Values from the calculation:
- energy above the most stable polymorph in this dataset (eV/atom) = 0.105
- crystal system = cubic

No. 8
An optimized crystal structure of Zn2CdSi. Source: the Alexandria database, functional PBE.

a b c (Å): 2.840 5.182 4.922
angles (deg): 90.00 98.87 90.00
Space group Pm (No. 6)
Inequivalent atoms, fractional coordinates:
Zn: 0.000 0.000 0.000 (multiplicity 1)
Zn: 0.093 0.500 0.304 (multiplicity 1)
Cd: 0.570 0.000 0.488 (multiplicity 1)
Si: 0.815 0.500 0.783 (multiplicity 1)

Values from the calculation:
- energy above the most stable polymorph in this dataset (eV/atom) = 0.040
- crystal system = monoclinic

No. 9
An optimized crystal structure of Zn2CdSi. Source: the Alexandria database, functional PBE.

a b c (Å): 4.140 4.140 17.601
angles (deg): 90.00 90.00 90.00
Space group I-42d (No. 122)
Inequivalent atoms, fractional coordinates:
Zn: 0.219 0.250 0.125 (multiplicity 8)
Cd: 0.000 0.000 0.500 (multiplicity 4)
Si: 0.000 0.000 0.000 (multiplicity 4)

Values from the calculation:
- energy above the most stable polymorph in this dataset (eV/atom) = 0.063
- crystal system = tetragonal

No. 10
An optimized crystal structure of Zn2CdSi. Source: the Alexandria database, functional PBE.

a b c (Å): 3.483 3.483 5.916
angles (deg): 90.00 90.00 90.00
Space group P4mm (No. 99)
Inequivalent atoms, fractional coordinates:
Zn: 0.000 0.000 0.000 (multiplicity 1)
Zn: 0.500 0.500 0.244 (multiplicity 1)
Cd: 0.000 0.000 0.508 (multiplicity 1)
Si: 0.500 0.500 0.812 (multiplicity 1)

Values from the calculation:
- energy above the most stable polymorph in this dataset (eV/atom) = 0.072
- crystal system = tetragonal

No. 11
An optimized crystal structure of Zn4CdSi. Source: the Alexandria database, functional PBE.

a b c (Å): 7.404 7.404 7.404
angles (deg): 90.00 90.00 90.00
Space group F-43m (No. 216)
Inequivalent atoms, fractional coordinates:
Zn: 0.125 0.125 0.125 (multiplicity 16)
Cd: 0.250 0.250 0.750 (multiplicity 4)
Si: 0.000 0.000 0.500 (multiplicity 4)

Values from the calculation:
- crystal system = cubic

No. 12
An optimized crystal structure of Zr2CdSi. Source: the Alexandria database, functional PBE.

a b c (Å): 3.076 3.076 8.767
angles (deg): 90.00 90.00 90.00
Space group P4mm (No. 99)
Inequivalent atoms, fractional coordinates:
Zr: 0.000 0.000 0.000 (multiplicity 1)
Zr: 0.500 0.500 0.269 (multiplicity 1)
Cd: 0.000 0.000 0.539 (multiplicity 1)
Si: 0.500 0.500 0.777 (multiplicity 1)

Values from the calculation:
- crystal system = tetragonal

Record-wise energy relative to the elements, uncorrected values, in kJ/mol of formula units: 427 143 164 96 115 206 123 98 107 110 132 -14
Record-wise calculated total energy values, in eV for the cell shown: -5.738 -23.098 -11.339 -15.788 -15.390 -43.599 -30.452 -7.872 -31.123 -7.746 -40.274 -23.575
Record-wise M_tot values, in μB/cell: 0.00 0.00 0.00 0.00 0.00 0.00 0.00 0.00 0.00 0.00 0.00 0.00